Entry 1:
VASP calculation (PBE) on a geometry-optimized La2PrCu structure.

Structure (extended XYZ):
```
8
Lattice="2.5194 -6.0659 0.0000 2.5194 6.0659 0.0000 0.0000 0.0000 7.9170" Properties=species:S:1:pos:R:3 pbc="T T T"
La 2.5194 4.3208 4.2030
La 2.5194 4.3208 7.6725
La 2.5194 -4.3208 0.2445
La 2.5194 -4.3208 3.7140
Pr 2.5194 0.6074 5.9378
Pr 2.5194 -0.6074 1.9793
Cu 2.5194 2.4664 1.9793
Cu 2.5194 -2.4664 5.9378
```

VASP energy in eV per atom: -4.74
N(E_F) in states/eV/f.u.: 4.8
DFT formation energy in eV per atom: -0.056
Crystal system: orthorhombic

Entry 2:
VASP calculation (PBE) on a geometry-optimized Rb3HgB2S6 structure.

Structure (extended XYZ):
```
12
Lattice="6.7997 0.0000 0.0000 -3.3998 5.8887 0.0000 0.0000 0.0000 9.1907" Properties=species:S:1:pos:R:3 pbc="T T T"
Rb 0.0000 0.0000 0.0000
Rb 0.0000 3.9258 6.0461
Rb 3.3999 1.9629 3.1446
Hg 0.0000 0.0000 4.5953
B 0.0000 3.9258 2.7376
B 3.3999 1.9629 6.4531
S 0.0000 2.1076 2.6570
S -1.5746 4.8349 2.6570
S 1.8253 1.0538 6.5337
S 1.5746 4.8349 2.6570
S 4.9744 1.0538 6.5337
S 3.3998 3.7811 6.5337
```

VASP energy in eV per atom: -4.06
N(E_F) in states/eV/f.u.: 5.9
Energy relative to the elements, uncorrected in kJ/mol of atoms: -59.1
Crystal system: trigonal

Entry 3:
VASP calculation (PBE) on a geometry-optimized K2Si4Au5 structure.

Structure (extended XYZ):
```
11
Lattice="0.0000 5.8336 6.6311 3.4367 0.0000 6.6311 3.4367 5.8336 0.0000" Properties=species:S:1:pos:R:3 pbc="T T T"
K 3.4367 1.7992 6.6311
K 3.4367 9.8680 6.6311
Si 3.4367 4.4635 4.5351
Si 3.4367 7.2037 4.5351
Si 3.4367 4.4635 8.7271
Si 3.4367 7.2037 8.7271
Au 1.7184 0.0000 3.3156
Au 1.7184 2.9168 3.3156
Au 1.7184 5.8336 3.3156
Au 3.4367 5.8336 6.6311
Au 5.1551 8.7504 9.9467
```

VASP energy in eV per atom: -3.83
N(E_F) in states/eV/f.u.: 3.7
Energy relative to the elements, uncorrected in kJ/mol of atoms: -16.1
Crystal system: orthorhombic

Entry 4:
VASP calculation (PBE) on a geometry-optimized PuSc3Sb4 structure.

Structure (extended XYZ):
```
8
Lattice="4.2272 -5.9758 0.0000 4.2272 5.9758 0.0000 0.0000 0.0000 4.2411" Properties=species:S:1:pos:R:3 pbc="T T T"
Pu 0.0000 0.0000 0.0000
Sc 2.1136 2.9879 2.1205
Sc 2.1136 -2.9879 2.1205
Sc 4.2272 0.0000 0.0000
Sb 4.2272 2.9226 0.0000
Sb 2.2104 0.0000 2.1205
Sb 6.2441 0.0000 2.1205
Sb 4.2272 -2.9226 0.0000
```

VASP energy in eV per atom: -7.06
N(E_F) in states/eV/f.u.: 15.8
Energy relative to the elements, uncorrected in kJ/mol of atoms: -80.6
Crystal system: orthorhombic

Entry 5:
VASP calculation (PBE) on a geometry-optimized ZrRe2Cl structure.

Structure (extended XYZ):
```
4
Lattice="-1.5002 2.1868 5.0270 1.5002 -2.1868 5.0270 1.5002 2.1868 -5.0270" Properties=species:S:1:pos:R:3 pbc="T T T"
Zr 0.0000 0.0000 0.0000
Re 1.5002 0.0000 2.6845
Re 0.0000 2.1868 2.3425
Cl 0.0000 0.0000 5.0270
```

VASP energy in eV per atom: -8.55
N(E_F) in states/eV/f.u.: 3.0
Energy relative to the elements, uncorrected in kJ/mol of atoms: 26.1
Crystal system: orthorhombic

Entry 6:
VASP calculation (PBE) on a geometry-optimized Mg2Ag3 structure.

Structure (extended XYZ):
```
5
Lattice="-1.7270 1.7270 7.6876 1.7270 -1.7270 7.6876 1.7270 1.7270 -7.6876" Properties=species:S:1:pos:R:3 pbc="T T T"
Mg 0.0000 0.0000 1.5875
Mg 0.0000 0.0000 13.7876
Ag 0.0000 0.0000 4.6295
Ag 0.0000 0.0000 7.6876
Ag 0.0000 0.0000 10.7456
```

VASP energy in eV per atom: -2.55
N(E_F) in states/eV/f.u.: 1.3
DFT formation energy in eV per atom: -0.196
Crystal system: tetragonal

Entry 7:
VASP calculation (PBE) on a geometry-optimized ZnPtPb2 structure.

Structure (extended XYZ):
```
4
Lattice="1.9353 1.1173 7.7294 -1.9353 1.1173 7.7294 0.0000 -2.2347 7.7294" Properties=species:S:1:pos:R:3 pbc="T T T"
Zn 0.0000 0.0000 0.0000
Pt 0.0000 0.0000 11.5941
Pb 0.0000 0.0000 5.5860
Pb 0.0000 0.0000 17.6023
```

VASP energy in eV per atom: -3.68
N(E_F) in states/eV/f.u.: 2.1
DFT formation energy in eV per atom: 0.006
Crystal system: trigonal

Entry 8:
VASP calculation (PBE) on a geometry-optimized Nd6AgRu2Br3 structure.

Structure (extended XYZ):
```
12
Lattice="3.6096 -6.2547 0.0000 3.6096 6.2547 0.0000 -2.3969 0.0000 7.8944" Properties=species:S:1:pos:R:3 pbc="T T T"
Nd -0.0901 2.2556 6.3131
Nd 1.0026 0.0000 1.5754
Nd -0.0901 -2.2556 6.3131
Nd 4.9124 2.2556 1.5813
Nd 3.8197 0.0000 6.3190
Nd 4.9124 -2.2556 1.5813
Ag 3.6096 0.0000 0.0000
Ru 3.6096 4.1704 0.0000
Ru 3.6096 -4.1704 0.0000
Br -1.1985 0.0000 3.9472
Br 2.4112 2.1062 3.9472
Br 2.4112 -2.1062 3.9472
```

VASP energy in eV per atom: -5.38
N(E_F) in states/eV/f.u.: 3.8
Energy relative to the elements, uncorrected in kJ/mol of atoms: -76.9
Crystal system: monoclinic

Entry 9:
VASP calculation (PBE) on a geometry-optimized YMg2 structure.

Structure (extended XYZ):
```
6
Lattice="3.3686 0.0000 0.0000 -1.6843 2.9173 0.0000 0.0000 0.0000 16.2848" Properties=species:S:1:pos:R:3 pbc="T T T"
Y 0.0000 1.9449 1.4761
Y 1.6843 0.9724 14.8087
Mg 0.0000 1.9449 6.8608
Mg 0.0000 1.9449 11.9876
Mg 1.6843 0.9724 4.2972
Mg 1.6843 0.9724 9.4241
```

VASP energy in eV per atom: -3.19
N(E_F) in states/eV/f.u.: 2.4
DFT formation energy in eV per atom: 0.030
Crystal system: trigonal

Entry 10:
VASP calculation (PBE) on a geometry-optimized CuSi2Rh structure.

Structure (extended XYZ):
```
4
Lattice="2.7622 0.0000 0.0000 0.0000 2.7622 0.0000 0.0000 0.0000 6.9671" Properties=species:S:1:pos:R:3 pbc="T T T"
Cu 0.0000 0.0000 0.0000
Si 1.3811 1.3811 1.7733
Si 1.3811 1.3811 5.1938
Rh 0.0000 0.0000 3.4836
```

VASP energy in eV per atom: -5.66
N(E_F) in states/eV/f.u.: 2.8
Energy relative to the elements, uncorrected in kJ/mol of atoms: -8.6
Crystal system: tetragonal

Entry 11:
VASP calculation (PBE) on a geometry-optimized Si2TeP structure.

Structure (extended XYZ):
```
4
Lattice="0.0000 3.2961 3.2961 3.2961 0.0000 3.2961 3.2961 3.2961 0.0000" Properties=species:S:1:pos:R:3 pbc="T T T"
Si 0.0000 0.0000 0.0000
Si 1.6480 1.6480 1.6480
Te 3.2961 3.2961 3.2961
P 4.9441 4.9441 4.9441
```

VASP energy in eV per atom: -4.11
N(E_F) in states/eV/f.u.: 2.1
Energy relative to the elements, uncorrected in kJ/mol of atoms: 71.2
Crystal system: cubic

Entry 12:
VASP calculation (PBE) on a geometry-optimized Ti2CuRh structure.

Structure (extended XYZ):
```
4
Lattice="-1.3985 2.2920 4.9000 1.3985 -2.2920 4.9000 1.3985 2.2920 -4.9000" Properties=species:S:1:pos:R:3 pbc="T T T"
Ti 0.0000 0.0000 2.4071
Ti 0.0000 0.0000 7.3928
Cu 0.0000 0.0000 4.9000
Rh 0.0000 0.0000 0.0000
```

VASP energy in eV per atom: -6.59
N(E_F) in states/eV/f.u.: 4.0
DFT formation energy in eV per atom: 0.219
Crystal system: orthorhombic

> Among the records above, which one has the highest N(E_F)?

PuSc3Sb4